Record 1
DFT (GGA-PBE) results for a relaxed TaBe3W crystal.

Excess energy over the best structure of this formula in the dataset: 0.676 eV per atom
ρ: 8.9 g/cm3
D(E_F): 6.2 states/eV/f.u.
Space-group type: Pm-3m (221)
Formation energy from the elements: 1881 meV per atom

abc: 4.176 4.176 4.176
angles: 90.00 90.00 90.00
Atoms (fractional coordinates):
Ta 0.000 0.000 0.000
Be 0.000 0.000 0.500
Be 0.000 0.500 0.000
Be 0.500 0.000 0.000
W 0.500 0.500 0.500

***

Record 2
DFT (GGA-PBE) results for a relaxed TaBe3W crystal.

Excess energy over the best structure of this formula in the dataset: 0.000 eV per atom
ρ: 9.1 g/cm3
D(E_F): 2.0 states/eV/f.u.
Space-group type: Pm-3m (221)
Formation energy from the elements: 1205 meV per atom

abc: 4.144 4.144 4.144
angles: 90.00 90.00 90.00
Atoms (fractional coordinates):
Ta 0.000 0.000 0.000
Be 0.000 0.500 0.500
Be 0.500 0.000 0.500
Be 0.500 0.500 0.000
W 0.500 0.500 0.500

***

Record 3
DFT (GGA-PBE) results for a relaxed Ta3BeW crystal.

Excess energy over the best structure of this formula in the dataset: 1.174 eV per atom
ρ: 10.7 g/cm3
D(E_F): 3.9 states/eV/f.u.
Space-group type: Pm-3m (221)
Formation energy from the elements: 1856 meV per atom

abc: 4.848 4.848 4.848
angles: 90.00 90.00 90.00
Atoms (fractional coordinates):
Ta 0.000 0.000 0.500
Ta 0.000 0.500 0.000
Ta 0.500 0.000 0.000
Be 0.500 0.500 0.500
W 0.000 0.000 0.000

***

Record 4
DFT (GGA-PBE) results for a relaxed TaBe9W2 crystal.

ρ: 8.8 g/cm3
D(E_F): 3.0 states/eV/f.u.
Space-group type: R-3m (166)
Formation energy from the elements: -268 meV per atom

abc: 7.385 7.385 7.385
angles: 35.12 35.12 35.12
Atoms (fractional coordinates):
Ta 0.000 0.000 0.000
Be 0.077 0.584 0.584
Be 0.334 0.334 0.334
Be 0.416 0.416 0.923
Be 0.416 0.923 0.416
Be 0.500 0.500 0.500
Be 0.584 0.077 0.584
Be 0.584 0.584 0.077
Be 0.666 0.666 0.666
Be 0.923 0.416 0.416
W 0.144 0.144 0.144
W 0.856 0.856 0.856

***

Record 5
DFT (GGA-PBE) results for a relaxed Ta3BeW crystal.

Excess energy over the best structure of this formula in the dataset: 0.000 eV per atom
ρ: 14.4 g/cm3
D(E_F): 3.4 states/eV/f.u.
Space-group type: Pm-3m (221)
Formation energy from the elements: 682 meV per atom

abc: 4.394 4.394 4.394
angles: 90.00 90.00 90.00
Atoms (fractional coordinates):
Ta 0.000 0.000 0.500
Ta 0.000 0.500 0.000
Ta 0.500 0.000 0.000
Be 0.000 0.000 0.000
W 0.500 0.500 0.500

***

Record 6
DFT (GGA-PBE) results for a relaxed TaBe2ZnW crystal.

ρ: 9.9 g/cm3
D(E_F): 3.5 states/eV/f.u.
Space-group type: P4/mmm (123)
Formation energy from the elements: 1010 meV per atom

abc: 4.004 4.004 4.710
angles: 90.00 90.00 90.00
Atoms (fractional coordinates):
Ta 0.000 0.000 0.000
Be 0.000 0.500 0.500
Be 0.500 0.000 0.500
Zn 0.500 0.500 0.500
W 0.500 0.500 0.000

***

Record 7
DFT (GGA-PBE) results for a relaxed YTaBe crystal.

Excess energy over the best structure of this formula in the dataset: 0.362 eV per atom
ρ: 7.7 g/cm3
D(E_F): 3.4 states/eV/f.u.
Space-group type: F-43m (216)
Formation energy from the elements: 642 meV per atom

abc: 4.404 4.404 4.404
angles: 60.00 60.00 60.00
Atoms (fractional coordinates):
Y 0.000 0.000 0.000
Ta 0.500 0.500 0.500
Be 0.250 0.250 0.250

***

Record 8
DFT (GGA-PBE) results for a relaxed Y2TaBe crystal.

Excess energy over the best structure of this formula in the dataset: 0.091 eV per atom
ρ: 7.0 g/cm3
D(E_F): 3.7 states/eV/f.u.
Space-group type: P4/mmm (123)
Formation energy from the elements: 314 meV per atom

abc: 3.249 3.249 8.263
angles: 90.00 90.00 90.00
Atoms (fractional coordinates):
Y 0.000 0.000 0.225
Y 0.000 0.000 0.775
Ta 0.500 0.500 0.500
Be 0.500 0.500 0.000

***

Record 9
DFT (GGA-PBE) results for a relaxed YTaBe crystal.

Excess energy over the best structure of this formula in the dataset: 0.227 eV per atom
ρ: 7.8 g/cm3
D(E_F): 2.6 states/eV/f.u.
Space-group type: P3m1 (156)
Formation energy from the elements: 508 meV per atom

abc: 4.291 4.291 3.724
angles: 90.00 90.00 120.00
Atoms (fractional coordinates):
Y 0.000 0.000 0.000
Ta 0.333 0.667 0.499
Be 0.667 0.333 0.506

***

Record 10
DFT (GGA-PBE) results for a relaxed YTa2Be2 crystal.

Excess energy over the best structure of this formula in the dataset: 0.000 eV per atom
ρ: 9.0 g/cm3
D(E_F): 4.8 states/eV/f.u.
Space-group type: I4/mmm (139)
Formation energy from the elements: 88 meV per atom

abc: 6.243 6.243 6.243
angles: 143.17 143.17 53.07
Atoms (fractional coordinates):
Y 0.000 0.000 0.000
Ta 0.250 0.750 0.500
Ta 0.750 0.250 0.500
Be 0.400 0.400 0.000
Be 0.600 0.600 0.000

***

Record 11
DFT (GGA-PBE) results for a relaxed Y2TaBe crystal.

Excess energy over the best structure of this formula in the dataset: 0.278 eV per atom
ρ: 6.8 g/cm3
D(E_F): 3.7 states/eV/f.u.
Space-group type: Fm-3m (225)
Formation energy from the elements: 502 meV per atom

abc: 5.038 5.038 5.038
angles: 60.00 60.00 60.00
Atoms (fractional coordinates):
Y 0.250 0.250 0.250
Y 0.750 0.750 0.750
Ta 0.000 0.000 0.000
Be 0.500 0.500 0.500

***

Record 12
DFT (GGA-PBE) results for a relaxed YTa3Be crystal.

Excess energy over the best structure of this formula in the dataset: 0.000 eV per atom
ρ: 10.9 g/cm3
D(E_F): 6.1 states/eV/f.u.
Space-group type: Pm-3m (221)
Formation energy from the elements: 606 meV per atom

abc: 4.602 4.602 4.602
angles: 90.00 90.00 90.00
Atoms (fractional coordinates):
Y 0.000 0.000 0.000
Ta 0.000 0.500 0.500
Ta 0.500 0.000 0.500
Ta 0.500 0.500 0.000
Be 0.500 0.500 0.500

***

Look up the formation energy from the elements of the seventh one. 642 meV per atom

***

Look up the ρ of the twelfth one. 10.9 g/cm3